[1]
{
  "formula": "AsPbBr2",
  "functional": "PBE",
  "state": "optimized geometry",
  "mass_density_g_cm3": 5.6,
  "crystal_system": "monoclinic",
  "final_energy_ev_per_atom": -3.11,
  "raw_formation_energy_ev_per_atom": -0.18,
  "space_group": "No. 8",
  "cell": [[-7.172, -4.218, 0.367], [-5.321, -5.938, -2.405], [0.854, -3.437, 2.704]],
  "species": ["Pb", "As", "Br", "Br"],
  "fractional_positions": [[0.564, 0.564, 0.432], [0.225, 0.225, 0.281], [0.984, 0.984, 0.009], [0.727, 0.727, 0.778]]
}

[2]
{
  "formula": "AsPbBr2",
  "functional": "PBE",
  "state": "optimized geometry",
  "mass_density_g_cm3": 6.6,
  "crystal_system": "trigonal",
  "final_energy_ev_per_atom": -2.81,
  "raw_formation_energy_ev_per_atom": 0.12,
  "space_group": "No. 166",
  "cell": [[2.039, 0.000, 10.360], [-1.019, 1.766, 10.360], [-1.019, -1.766, 10.360]],
  "species": ["Pb", "As", "Br", "Br"],
  "fractional_positions": [[0.000, 0.000, 0.000], [0.500, 0.500, 0.500], [0.904, 0.904, 0.904], [0.096, 0.096, 0.096]]
}

[3]
{
  "formula": "AsPb4Br5",
  "functional": "PBE",
  "state": "optimized geometry",
  "mass_density_g_cm3": 5.9,
  "crystal_system": "monoclinic",
  "final_energy_ev_per_atom": -3.48,
  "raw_formation_energy_ev_per_atom": -0.70,
  "space_group": "No. 12",
  "cell": [[-1.148, 3.265, 2.803], [-7.280, -4.442, 2.194], [7.585, -4.501, 4.812]],
  "species": ["As", "Pb", "Pb", "Pb", "Pb", "Br", "Br", "Br", "Br", "Br"],
  "fractional_positions": [[0.500, 0.000, 0.000], [0.658, 0.103, 0.316], [0.002, 0.239, 0.004], [0.342, 0.897, 0.684], [0.998, 0.761, 0.996], [0.164, 0.344, 0.329], [0.164, 0.861, 0.328], [0.836, 0.139, 0.672], [0.500, 0.500, 0.000], [0.836, 0.656, 0.671]]
}